Material: HfGeCl2
Method: DFT, PBE
State: relaxed

Energy relative to the elements, uncorrected, eV/atom: -0.064
Crystal system: cubic
V, Å³/atom: 18.31
DFT total energy, eV for the cell shown: -18.52
SG: Fm-3m, No. 225

Cell lengths 4.6961, 4.6961, 4.6961 Å; angles 60.00, 60.00, 60.00 degrees
Last column: nearest neighbours and their distance in Å.
Fractional coordinates of all 4 atoms:
Cl 0.7500 0.7500 0.7500  4 Hf 2.88, 4 Ge 2.88
Ge 0.0000 0.0000 0.0000  8 Cl 2.88
Cl 0.2500 0.2500 0.2500  4 Ge 2.88, 4 Hf 2.88
Hf 0.5000 0.5000 0.5000  8 Cl 2.88